## TlMoPt2 (GGA-PBE)

Data for a geometry-optimized TlMoPt2 structure.

The structure in CIF format:
```
data_TlMoPt2
_chemical_formula_sum 'Tl1 Mo1 Pt2'
_symmetry_space_group_name_H-M 'P m m m'
_symmetry_Int_Tables_number 47
_cell_length_a 4.013
_cell_length_b 4.055
_cell_length_c 4.262
_cell_angle_alpha 90.00
_cell_angle_beta 90.00
_cell_angle_gamma 90.00
loop_
_symmetry_equiv_pos_as_xyz
'x,y,z'
'-x,-y,-z'
'-x,-y,z'
'x,y,-z'
'x,-y,-z'
'-x,y,z'
'-x,y,-z'
'x,-y,z'
loop_
_atom_site_label
_atom_site_type_symbol
_atom_site_fract_x
_atom_site_fract_y
_atom_site_fract_z
_atom_site_occupancy
Tl1 Tl 0.000 0.000 0.000 1
Mo1 Mo 0.500 0.500 0.000 1
Pt1 Pt 0.000 0.500 0.500 1
Pt2 Pt 0.500 0.000 0.500 1
```



## TlMoPt2 (GGA-PBE)

Data for a geometry-optimized TlMoPt2 structure.

The structure in CIF format:
```
data_TlMoPt2
_chemical_formula_sum 'Tl1 Mo1 Pt2'
_symmetry_space_group_name_H-M 'P m m m'
_symmetry_Int_Tables_number 47
_cell_length_a 2.926
_cell_length_b 4.057
_cell_length_c 5.838
_cell_angle_alpha 90.00
_cell_angle_beta 90.00
_cell_angle_gamma 90.00
loop_
_symmetry_equiv_pos_as_xyz
'x,y,z'
'-x,-y,-z'
'-x,-y,z'
'x,y,-z'
'x,-y,-z'
'-x,y,z'
'-x,y,-z'
'x,-y,z'
loop_
_atom_site_label
_atom_site_type_symbol
_atom_site_fract_x
_atom_site_fract_y
_atom_site_fract_z
_atom_site_occupancy
Tl1 Tl 0.000 0.000 0.000 1
Mo1 Mo 0.000 0.000 0.500 1
Pt1 Pt 0.500 0.500 0.273 1
```



## Tl2MoPt (GGA-PBE)

Data for a geometry-optimized Tl2MoPt structure.

The structure in CIF format:
```
data_Tl2MoPt
_chemical_formula_sum 'Tl6 Mo3 Pt3'
_symmetry_space_group_name_H-M 'R 3 m'
_symmetry_Int_Tables_number 160
_symmetry_space_group_name_Hall 'R 3 -2"'
_cell_length_a 3.1214
_cell_length_b 3.1214
_cell_length_c 29.3696
_cell_angle_alpha 90.00
_cell_angle_beta 90.00
_cell_angle_gamma 120.00
loop_
_atom_site_label
_atom_site_type_symbol
_atom_site_fract_x
_atom_site_fract_y
_atom_site_fract_z
_atom_site_occupancy
Tl1 Tl 0.0000 0.0000 0.0000 1
Tl2 Tl 0.0000 0.0000 0.2354 1
Mo1 Mo 0.0000 0.0000 0.4848 1
Pt1 Pt 0.0000 0.0000 0.7507 1
```



## TlMoPt (GGA-PBE)

Data for a geometry-optimized TlMoPt structure.

The structure in CIF format:
```
data_TlMoPt
_chemical_formula_sum 'Tl2 Mo2 Pt2'
_symmetry_space_group_name_H-M 'I 4 m m'
_symmetry_Int_Tables_number 107
_symmetry_space_group_name_Hall 'I 4 -2'
_cell_length_a 2.995
_cell_length_b 2.995
_cell_length_c 12.298
_cell_angle_alpha 90.00
_cell_angle_beta 90.00
_cell_angle_gamma 90.00
loop_
_atom_site_label
_atom_site_type_symbol
_atom_site_fract_x
_atom_site_fract_y
_atom_site_fract_z
_atom_site_occupancy
Tl1 Tl 0.000 0.000 0.000 1
Mo1 Mo 0.000 0.000 0.680 1
Pt1 Pt 0.000 0.000 0.314 1
```



What are the energy relative to the elements values for these records? In order: 0.272 0.064 0.382 0.224 eV/atom.